Record 1
The following is a DFT calculation (PBE) of a geometry-optimized Ag2OsBr structure.

```
Ag2OsBr
1.0
-0.013 0.688 3.099
-2.303 -1.356 0.291
4.779 -7.742 1.738
Os Ag Br
1 2 1
Cartesian
1.851 -6.479 3.072 Os
4.022 -7.785 1.745 Ag
1.995 -4.505 1.008 Ag
0.613 -1.930 2.057 Br
```

- Formation energy from raw total energies: 69.7 kJ/mol of atoms
- E_tot: -0.1444 Ha/atom

=====

Record 2
The following is a DFT calculation (PBE) of a geometry-optimized Nd4GaTeCl2 structure.

```
Nd4GaTeCl2
1.0
4.332 0.000 0.000
0.000 7.051 0.040
0.000 2.661 7.360
Nd Ga Te Cl
4 1 1 2
Cartesian
0.000 7.305 5.745 Nd
4.332 2.407 1.655 Nd
2.166 5.926 1.632 Nd
2.166 3.786 5.767 Nd
2.166 6.187 7.380 Ga
0.000 4.856 3.700 Te
0.000 2.661 7.360 Cl
2.166 1.331 3.680 Cl
```

- Formation energy from raw total energies: -118.5 kJ/mol of atoms
- E_tot: -0.1781 Ha/atom

=====

Record 3
The following is a DFT calculation (PBE) of a geometry-optimized La2Pm15Er2 structure.

```
La2Pm15Er2
1.0
-8.138 -0.482 3.603
-4.099 -5.079 -6.071
0.528 -7.949 3.998
La Pm Er
2 15 2
Cartesian
-7.922 -9.139 1.036 La
-3.788 -4.370 0.495 La
-2.050 -2.539 -3.035 Pm
0.264 -3.974 1.999 Pm
-4.069 -0.241 1.802 Pm
-2.016 -5.756 3.882 Pm
-6.952 -1.831 0.763 Pm
-2.740 -5.922 -3.114 Pm
-5.285 -3.729 -3.230 Pm
-0.830 -7.106 1.042 Pm
-5.594 -2.674 3.719 Pm
-6.294 -7.429 -2.343 Pm
-4.077 -8.804 2.482 Pm
-8.230 -5.226 2.293 Pm
-5.415 -6.080 3.874 Pm
-7.633 -4.705 -0.951 Pm
-3.480 -8.283 -0.762 Pm
-10.606 -12.237 1.387 Er
-1.103 -1.273 0.144 Er
```

- ΔE_f: 0.2404 eV per atom
- E_tot: -0.1657 Ha/atom

=====

Record 4
The following is a DFT calculation (PBE) of a geometry-optimized SrCa3Rh structure.

```
SrCa3Rh
1.0
-10.609 0.222 -10.987
-9.312 -4.899 -0.228
-1.299 0.996 10.397
Sr Ca Rh
4 12 4
Cartesian
-5.117 -1.969 3.113 Sr
-14.088 -3.032 4.713 Sr
-16.103 -1.712 -3.932 Sr
-7.133 -0.649 -5.532 Sr
-8.881 -1.100 -0.463 Ca
-10.341 -3.907 8.306 Ca
-12.339 -2.580 -0.356 Ca
-10.879 0.226 -9.125 Ca
-3.085 -1.330 0.189 Ca
-11.182 -1.856 2.906 Ca
-18.136 -2.351 -1.007 Ca
-10.038 -1.825 -3.725 Ca
-15.211 -3.707 1.229 Ca
-12.687 -0.368 -6.225 Ca
-6.009 0.026 -2.047 Ca
-8.534 -3.313 5.406 Ca
-8.693 0.632 -2.958 Rh
-12.527 -4.313 2.140 Rh
-13.836 -1.259 1.969 Rh
-7.385 -2.422 -2.788 Rh
```

- ΔE_f: -0.1911 eV per atom
- E_tot: -0.1176 Ha/atom

=====

Record 5
The following is a DFT calculation (PBE) of a geometry-optimized BaNiSb2 structure.

```
BaNiSb2
1.0
-0.444 4.440 3.768
-4.313 -1.114 3.777
4.582 -3.194 -1.709
Ba Ni Sb
1 1 2
Cartesian
-2.379 1.663 3.772 Ba
0.879 1.455 2.916 Ni
0.000 0.000 0.000 Sb
-1.055 -1.323 2.920 Sb
```

- Formation energy from raw total energies: 6.9 kJ/mol of atoms
- E_tot: -0.1439 Ha/atom

=====

Record 6
The following is a DFT calculation (PBE) of a geometry-optimized Zn2RuCl structure.

```
Zn2RuCl
1.0
3.352 0.000 0.000
0.000 3.352 0.000
0.000 0.000 6.942
Cl Ru Zn
1 1 2
Cartesian
0.000 0.000 2.914 Cl
1.676 1.676 6.057 Ru
0.000 0.000 6.812 Zn
1.676 1.676 1.571 Zn
```

- Formation energy from raw total energies: 19.1 kJ/mol of atoms
- E_tot: -0.1183 Ha/atom

=====

Record 7
The following is a DFT calculation (PBE) of a geometry-optimized Mg4GaPb structure.

```
Mg4GaPb
1.0
3.518 -0.283 0.004
0.285 3.517 0.006
-0.109 -0.105 11.068
Mg Ga Pb
4 1 1
Cartesian
0.056 1.675 8.981 Mg
3.638 1.454 2.097 Mg
1.690 -0.207 7.114 Mg
2.003 3.337 3.963 Mg
0.088 1.706 5.537 Ga
1.759 -0.141 0.002 Pb
```

- ΔE_f: -0.0513 eV per atom
- E_tot: -0.0822 Ha/atom

=====

Record 8
The following is a DFT calculation (PBE) of a geometry-optimized CrCd3S structure.

```
CrCd3S
1.0
-4.388 1.539 2.231
1.473 -2.210 4.421
2.275 4.398 1.441
Cr S Cd
1 1 3
Cartesian
-0.320 1.863 4.046 Cr
0.000 0.000 0.000 S
0.737 -1.105 2.210 Cd
1.138 2.199 0.720 Cd
-2.194 0.769 1.116 Cd
```

- Formation energy from raw total energies: 67.9 kJ/mol of atoms
- E_tot: -0.0954 Ha/atom

=====

Record 9
The following is a DFT calculation (PBE) of a geometry-optimized NdSnHgAu structure.

```
NdSnHgAu
1.0
-2.097 4.138 -2.290
-2.610 -0.542 -4.434
-5.139 0.594 -0.066
Nd Au Hg Sn
1 1 1 1
Cartesian
-7.385 3.142 -5.093 Nd
-4.923 2.095 -3.395 Au
0.000 0.000 0.000 Hg
-2.462 1.047 -1.698 Sn
```

- ΔE_f: -0.5347 eV per atom
- E_tot: -0.1331 Ha/atom

=====

Record 10
The following is a DFT calculation (PBE) of a geometry-optimized TlZnS2 structure.

```
TlZnS2
1.0
6.037 0.000 0.000
0.000 6.037 0.000
3.019 3.019 5.721
S Tl Zn
4 2 2
Cartesian
4.160 1.509 1.430 S
1.878 4.528 1.430 S
4.528 4.896 4.290 S
7.547 7.178 4.290 S
0.000 0.000 0.000 Tl
6.037 3.019 2.860 Tl
3.019 3.019 0.000 Zn
3.019 6.037 2.860 Zn
```

- Formation energy from raw total energies: -37.5 kJ/mol of atoms
- E_tot: -0.1236 Ha/atom

=====

Record 11
The following is a DFT calculation (PBE) of a geometry-optimized MgCd6Pd structure.

```
MgCd6Pd
1.0
-3.448 -2.177 -4.212
-3.592 -1.713 4.306
-2.384 5.346 -0.332
Mg Cd Pd
1 6 1
Cartesian
0.000 0.000 0.000 Mg
-3.030 -0.400 1.606 Cd
-2.567 2.302 -0.169 Cd
-6.394 1.856 -1.845 Cd
-6.449 2.034 1.416 Cd
-6.856 -0.846 -0.069 Cd
-2.975 -0.578 -1.654 Cd
-4.712 0.728 -0.119 Pd
```

- ΔE_f: 0.0043 eV per atom
- E_tot: -0.0562 Ha/atom

=====

Record 12
The following is a DFT calculation (PBE) of a geometry-optimized BH2AuSe structure.

```
BH2AuSe
1.0
-0.406 -0.997 3.396
4.749 0.365 0.674
-0.397 3.410 0.953
H B Au Se
2 1 1 1
Cartesian
-0.199 1.705 0.477 H
-0.203 -0.498 1.698 H
0.000 0.000 0.000 B
1.973 1.389 2.512 Au
2.375 0.183 0.337 Se
```

- E_tot: -0.1184 Ha/atom